No. 1
Cr2InAu: relaxed, PBE.

Calculated values
Formation energy from the elements (eV/atom): 0.2966
Space-group type: P4/mmm (123)

Lattice parameters (Å, degrees): 3.337 3.337 6.364 90.00 90.00 90.02
Each line ends with the local moment (μB).
Sites, in units of the cell vectors:
Au 0.500 0.500 0.750  0.09
Cr 0.000 0.000 0.988  3.41
Cr 0.000 0.000 0.512  3.41
In 0.500 0.500 0.250  -0.11

No. 2
Mo2PtN: relaxed, PBE.

Calculated values
Space-group type: I-42d (122)
Formation energy from raw total energies (meV/atom): 233

Lattice parameters (Å, degrees): 4.863 4.863 6.612 68.42 68.42 90.00
Sites, in units of the cell vectors:
Mo 0.522 0.125 0.250
Mo 0.228 0.625 0.250
Mo 0.375 0.478 0.750
Mo 0.875 0.772 0.750
Pt 0.000 0.000 0.000
Pt 0.750 0.250 0.500
N 0.500 0.500 0.000
N 0.250 0.750 0.500

no.,total magnetic moment (μB/atom)
1,1.839
2,0.000